Entry 1:
HfCu2Pd after structural relaxation, computed with GGA-PBE.

Summary:
For the energy relative to the elements, the calculation gives -292 meV per atom. As for the symmetry: F-43m. The electronic total energy comes out at -5.9330 eV per atom.

abc: 4.422 4.422 4.422
angles: 60.00 60.00 60.00
Fractional coordinates of all 4 atoms:
Hf  0.000  0.000  0.000
Cu  0.250  0.250  0.250
Cu  0.500  0.500  0.500
Pd  0.750  0.750  0.750

---

Entry 2:
HfCuPd2 after structural relaxation, computed with GGA-PBE.

Summary:
For the energy relative to the elements, the calculation gives -438 meV per atom. As for the symmetry: F-43m. The electronic total energy comes out at -6.4436 eV per atom.

abc: 4.479 4.479 4.479
angles: 60.00 60.00 60.00
Fractional coordinates of all 4 atoms:
Hf  0.000  0.000  0.000
Cu  0.250  0.250  0.250
Pd  0.500  0.500  0.500
Pd  0.750  0.750  0.750

---

Entry 3:
Hf4CuPd after structural relaxation, computed with GGA-PBE.

Summary:
For the energy relative to the elements, the calculation gives -343 meV per atom. As for the symmetry: Amm2. The electronic total energy comes out at -8.4624 eV per atom.

abc: 4.532 6.062 6.062
angles: 136.09 90.00 90.00
Fractional coordinates of all 6 atoms:
Hf  0.000  0.158  0.842
Hf  0.000  0.842  0.158
Hf  0.500  0.341  0.660
Hf  0.500  0.660  0.341
Cu  0.500  0.003  0.003
Pd  0.000  0.498  0.498

---

Entry 4:
HfCu2Pd after structural relaxation, computed with GGA-PBE.

Summary:
For the energy relative to the elements, the calculation gives -396 meV per atom. As for the symmetry: Pmmn. The electronic total energy comes out at -6.0375 eV per atom.

abc: 4.589 5.427 4.800
angles: 90.00 90.00 90.00
Fractional coordinates of all 8 atoms:
Hf  0.250  0.250  0.147
Hf  0.750  0.750  0.853
Cu  0.250  0.506  0.648
Cu  0.250  0.994  0.648
Cu  0.750  0.006  0.352
Cu  0.750  0.494  0.352
Pd  0.250  0.750  0.165
Pd  0.750  0.250  0.835

---

Entry 5:
Hf2Cu2Pd after structural relaxation, computed with GGA-PBE.

Summary:
For the energy relative to the elements, the calculation gives 64 meV per atom. As for the symmetry: I4/mmm. The electronic total energy comes out at -6.4403 eV per atom.

abc: 7.404 7.404 7.404
angles: 152.77 152.77 38.88
Fractional coordinates of all 5 atoms:
Hf  0.105  0.105  0.000
Hf  0.895  0.895  0.000
Cu  0.250  0.750  0.500
Cu  0.750  0.250  0.500
Pd  0.500  0.500  0.000

---

Entry 6:
HfCuPd2 after structural relaxation, computed with GGA-PBE.

Summary:
For the energy relative to the elements, the calculation gives -438 meV per atom. As for the symmetry: F-43m. The electronic total energy comes out at -6.4437 eV per atom.

abc: 4.480 4.480 4.480
angles: 60.00 60.00 60.00
Fractional coordinates of all 4 atoms:
Hf  0.000  0.000  0.000
Cu  0.750  0.750  0.750
Pd  0.250  0.250  0.250
Pd  0.500  0.500  0.500

---

Entry 7:
HfCuPdPt after structural relaxation, computed with GGA-PBE.

Summary:
For the energy relative to the elements, the calculation gives -778 meV per atom. As for the symmetry: I-4m2. The electronic total energy comes out at -7.0038 eV per atom.

abc: 4.808 4.808 4.808
angles: 130.61 130.61 72.43
Fractional coordinates of all 4 atoms:
Hf  0.000  0.000  0.000
Cu  0.500  0.500  0.000
Pd  0.750  0.250  0.500
Pt  0.250  0.750  0.500

---

Entry 8:
HfCuSbPd after structural relaxation, computed with GGA-PBE.

Summary:
The excess energy over the best structure of this formula in the dataset is 0.030 eV per atom. As for the symmetry: F-43m. The electronic total energy comes out at -5.9873 eV per atom.

abc: 4.678 4.678 4.678
angles: 60.00 60.00 60.00
Fractional coordinates of all 4 atoms:
Hf  0.000  0.000  0.000
Cu  0.500  0.500  0.500
Sb  0.250  0.250  0.250
Pd  0.750  0.750  0.750

---

Entry 9:
HfCuSbPd after structural relaxation, computed with GGA-PBE.

Summary:
The excess energy over the best structure of this formula in the dataset is 0.000 eV per atom. As for the symmetry: F-43m. The electronic total energy comes out at -6.0172 eV per atom.

abc: 4.655 4.655 4.655
angles: 60.00 60.00 60.00
Fractional coordinates of all 4 atoms:
Hf  0.000  0.000  0.000
Cu  0.750  0.750  0.750
Sb  0.500  0.500  0.500
Pd  0.250  0.250  0.250

---

Entry 10:
HfCuSiPd after structural relaxation, computed with GGA-PBE.

Summary:
The excess energy over the best structure of this formula in the dataset is 0.029 eV per atom. As for the symmetry: F-43m. The electronic total energy comes out at -6.4429 eV per atom.

abc: 4.458 4.458 4.458
angles: 60.00 60.00 60.00
Fractional coordinates of all 4 atoms:
Hf  0.000  0.000  0.000
Cu  0.500  0.500  0.500
Si  0.250  0.250  0.250
Pd  0.750  0.750  0.750

---

Entry 11:
HfCuSiPd after structural relaxation, computed with GGA-PBE.

Summary:
The excess energy over the best structure of this formula in the dataset is 0.000 eV per atom. As for the symmetry: F-43m. The electronic total energy comes out at -6.4715 eV per atom.

abc: 4.429 4.429 4.429
angles: 60.00 60.00 60.00
Fractional coordinates of all 4 atoms:
Hf  0.000  0.000  0.000
Cu  0.750  0.750  0.750
Si  0.500  0.500  0.500
Pd  0.250  0.250  0.250

---

Entry 12:
HfTlCuPd after structural relaxation, computed with GGA-PBE.

Summary:
The excess energy over the best structure of this formula in the dataset is 0.138 eV per atom. As for the symmetry: F-43m. The electronic total energy comes out at -5.3863 eV per atom.

abc: 4.664 4.664 4.664
angles: 60.00 60.00 60.00
Fractional coordinates of all 4 atoms:
Hf  0.000  0.000  0.000
Tl  0.750  0.750  0.750
Cu  0.500  0.500  0.500
Pd  0.250  0.250  0.250